The following is a PBE calculation of an optimized crystal structure of YTlSbF2, from the Alexandria database.

Cell: 4.438 4.438 6.362 Å, 90.00 90.00 90.00°
Sites, in units of the cell vectors:
1 Y 0.000 0.000 0.000
2 Tl 0.500 0.500 0.500
3 Sb 0.000 0.000 0.500
4 F 0.000 0.500 0.000
5 F 0.500 0.000 0.000

The calculation puts the energy at -27.69 eV per cell. For the magnetic moment, the calculation gives 0.00 μB per formula unit.

***

The following is a PBE calculation of an optimized crystal structure of TlZnSbF6, from the Alexandria database.

Cell: 5.601 5.828 5.846 Å, 60.20 89.89 89.80°
Sites, in units of the cell vectors:
1 Tl 0.000 0.000 0.000
2 Zn 0.521 0.333 0.332
3 Sb 0.484 0.666 0.667
4 F 0.339 0.053 0.646
5 F 0.340 0.299 0.052
6 F 0.342 0.651 0.299
7 F 0.721 0.434 0.585
8 F 0.721 0.584 0.978
9 F 0.721 0.976 0.437

The calculation puts the energy at -38.87 eV per cell. For the magnetic moment, the calculation gives 0.00 μB per formula unit.